Entry 1:
An optimized crystal structure of K3AgAu, computed with PBE-GGA.

Cell: 9.1023 9.1023 9.2187 Å, 90.14 90.14 31.58°
Sites, in units of the cell vectors:
K1 0.0600 0.0600 0.1922
K2 0.2360 0.2360 0.8091
K3 0.3945 0.3945 0.4326
K4 0.6055 0.6055 0.5674
K5 0.7640 0.7640 0.1909
K6 0.9400 0.9400 0.8078
Ag1 0.4224 0.4224 0.0592
Ag2 0.5776 0.5776 0.9408
Au1 0.2117 0.2117 0.4358
Au2 0.7883 0.7883 0.5642

Results
energy = -19.87 eV per cell
total moment = 0.000 μB per atom

Entry 2:
An optimized crystal structure of Cr2CdNi, computed with PBE-GGA.

Cell: 5.6115 5.6115 5.6115 Å, 101.98 101.98 125.78°
Sites, in units of the cell vectors:
Cr1 0.0767 0.6250 0.9517
Cr2 0.3750 0.3267 0.4517
Cr3 0.6733 0.1250 0.0483
Cr4 0.8750 0.9233 0.5483
Cd1 0.2500 0.7500 0.5000
Cd2 0.5000 0.5000 0.0000
Ni1 0.0000 0.0000 0.0000
Ni2 0.7500 0.2500 0.5000

Results
energy = -45.11 eV per cell
total moment = 1.396 μB per atom

Entry 3:
An optimized crystal structure of PaSi4Pt12, computed with PBE-GGA.

Cell: 7.2801 7.2801 7.2801 Å, 109.47 109.47 109.47°
Sites, in units of the cell vectors:
Pa1 0.0000 0.0000 0.0000
Si1 0.0000 0.0000 0.5000
Si2 0.0000 0.5000 0.0000
Si3 0.5000 0.0000 0.0000
Si4 0.5000 0.5000 0.5000
Pt1 0.1599 0.3382 0.4981
Pt2 0.1599 0.6618 0.8217
Pt3 0.1783 0.8401 0.3382
Pt4 0.3382 0.1783 0.8401
Pt5 0.3382 0.4981 0.1599
Pt6 0.4981 0.1599 0.3382
Pt7 0.5019 0.8401 0.6618
Pt8 0.6618 0.5019 0.8401
Pt9 0.6618 0.8217 0.1599
Pt10 0.8217 0.1599 0.6618
Pt11 0.8401 0.3382 0.1783
Pt12 0.8401 0.6618 0.5019

Results
ΔE_f (raw) = -0.446 eV/atom
total moment = 0.000 μB per atom

Entry 4:
An optimized crystal structure of CeNd5Mg4, computed with PBE-GGA.

Cell: 3.7940 3.7940 20.8352 Å, 90.00 90.00 90.00°
Sites, in units of the cell vectors:
Ce1 0.0000 0.0000 0.0000
Nd1 0.5000 0.5000 0.1114
Nd2 0.5000 0.5000 0.3094
Nd3 0.5000 0.5000 0.5000
Nd4 0.5000 0.5000 0.6906
Nd5 0.5000 0.5000 0.8886
Mg1 0.0000 0.0000 0.2105
Mg2 0.0000 0.0000 0.4045
Mg3 0.0000 0.0000 0.5955
Mg4 0.0000 0.0000 0.7895

Results
energy = -36.64 eV per cell
total moment = 0.061 μB per atom

Entry 5:
An optimized crystal structure of Li4AgBr5, computed with PBE-GGA.

Cell: 4.2520 4.2520 34.3764 Å, 90.00 90.00 120.00°
Sites, in units of the cell vectors:
Li1 0.0000 0.0000 0.0000
Li2 0.0000 0.0000 0.1939
Li3 0.0000 0.0000 0.3879
Li4 0.0000 0.0000 0.5819
Li5 0.0000 0.0000 0.7906
Li6 0.6667 0.3333 0.0967
Li7 0.6667 0.3333 0.2908
Li8 0.6667 0.3333 0.4850
Ag1 0.6667 0.3333 0.6824
Ag2 0.6667 0.3333 0.8913
Br1 0.0000 0.0000 0.1195
Br2 0.0000 0.0000 0.3135
Br3 0.0000 0.0000 0.5076
Br4 0.0000 0.0000 0.7161
Br5 0.0000 0.0000 0.9250
Br6 0.6667 0.3333 0.0224
Br7 0.6667 0.3333 0.2165
Br8 0.6667 0.3333 0.4106
Br9 0.6667 0.3333 0.6039
Br10 0.6667 0.3333 0.8129

Results
ΔE_f (raw) = -1.302 eV/atom
total moment = 0.000 μB per atom

Entry 6:
An optimized crystal structure of Tb7YTm5, computed with PBE-GGA.

Cell: 8.6680 8.6680 8.6680 Å, 135.14 99.19 97.55°
Sites, in units of the cell vectors:
Tb1 0.0000 0.0000 0.0000
Tb2 0.0734 0.7440 0.3293
Tb3 0.3053 0.3053 0.0000
Tb4 0.4147 0.7440 0.6707
Tb5 0.4982 0.9982 0.5000
Tb6 0.5706 0.2462 0.3244
Tb7 0.9218 0.2462 0.6756
Y1 0.6896 0.6896 0.0000
Tm1 0.2662 0.2610 0.5352
Tm2 0.2662 0.7311 0.0052
Tm3 0.7258 0.2610 0.9948
Tm4 0.7258 0.7311 0.4648
Tm5 0.9917 0.4917 0.5000

Results
energy = -58.01 eV per cell
total moment = 0.000 μB per atom

Entry 7:
An optimized crystal structure of AlCdS4, computed with PBE-GGA.

Cell: 13.0662 13.0662 6.2061 Å, 90.83 90.83 159.40°
Sites, in units of the cell vectors:
Al1 0.0010 0.9990 0.7500
Al2 0.9990 0.0010 0.2500
Cd1 0.3811 0.6189 0.7500
Cd2 0.6189 0.3811 0.2500
S1 0.0165 0.6241 0.1533
S2 0.1616 0.2640 0.5178
S3 0.2640 0.1616 0.0178
S4 0.3759 0.9835 0.3467
S5 0.6241 0.0165 0.6533
S6 0.7360 0.8384 0.9822
S7 0.8384 0.7360 0.4822
S8 0.9835 0.3759 0.8467

Results
ΔE_f (raw) = -0.417 eV/atom
total moment = 0.000 μB per atom

Entry 8:
An optimized crystal structure of NbZnIr2, computed with PBE-GGA.

Cell: 4.0980 4.0980 3.6407 Å, 90.00 90.00 90.00°
Sites, in units of the cell vectors:
Nb1 0.0000 0.0000 0.0000
Zn1 0.5000 0.5000 0.0000
Ir1 0.0000 0.5000 0.5000
Ir2 0.5000 0.0000 0.5000

Results
energy = -30.39 eV per cell
total moment = 0.000 μB per atom